## Hf3BPb (PBE)

Data for a relaxed Hf3BPb crystal.

extended XYZ file:
```
10
Lattice="7.481 0.000 0.000 0.000 3.468 0.000 -2.528 0.000 8.020" Properties=species:S:1:pos:R:3 pbc="T T T"
Hf -0.689 0.867 2.795
Hf 0.133 0.867 7.324
Hf 1.317 2.601 4.915
Hf 3.635 0.867 3.105
Hf 4.820 2.601 0.696
Hf 5.642 2.601 5.224
B -0.225 0.867 5.066
B 5.177 2.601 2.954
Pb 1.498 2.601 1.549
Pb 3.454 0.867 6.471
```

Computed properties:
energy of formation: -0.25 eV per atom
volume: 20.8 Å³/atom
electronic total energy: -8.300 eV/atom


## HfBPb3 (PBE)

Data for a relaxed HfBPb3 crystal.

extended XYZ file:
```
5
Lattice="5.626 0.000 0.000 0.000 5.626 0.000 0.000 0.000 5.626" Properties=species:S:1:pos:R:3 pbc="T T T"
Hf 0.000 0.000 0.000
B 2.813 2.813 2.813
Pb 0.000 0.000 2.813
Pb 0.000 2.813 0.000
Pb 2.813 0.000 0.000
```

Computed properties:
energy of formation: 1.35 eV per atom
energy above the most stable polymorph in this dataset: 0.3841 eV/atom
volume: 35.6 Å³/atom
electronic total energy: -4.199 eV/atom


## HfBPb3 (PBE)

Data for a relaxed HfBPb3 crystal.

extended XYZ file:
```
5
Lattice="5.006 0.000 0.000 0.000 5.006 0.000 0.000 0.000 5.006" Properties=species:S:1:pos:R:3 pbc="T T T"
Hf 0.000 0.000 0.000
B 2.503 2.503 2.503
Pb 0.000 2.503 2.503
Pb 2.503 0.000 2.503
Pb 2.503 2.503 0.000
```

Computed properties:
energy of formation: 0.97 eV per atom
energy above the most stable polymorph in this dataset: 0.0000 eV/atom
volume: 25.1 Å³/atom
electronic total energy: -4.583 eV/atom


## Hf5B2Pb (PBE)

Data for a relaxed Hf5B2Pb crystal.

extended XYZ file:
```
16
Lattice="-3.403 3.403 6.278 3.403 -3.403 6.278 3.403 3.403 -6.278" Properties=species:S:1:pos:R:3 pbc="T T T"
Hf 0.000 0.000 0.000
Hf 4.462 1.059 -1.565
Hf 1.059 2.344 -1.565
Hf 4.462 1.059 1.565
Hf 1.059 2.344 1.565
Hf 0.000 0.000 6.278
Hf 2.344 1.059 4.713
Hf -1.059 2.344 4.713
Hf 2.344 1.059 7.843
Hf -1.059 2.344 7.843
B 2.355 1.048 0.000
B 2.355 -1.048 6.278
B 1.048 4.451 0.000
B 1.048 2.355 6.278
Pb 0.000 0.000 3.139
Pb 0.000 0.000 9.417
```

Computed properties:
energy of formation: -0.27 eV per atom
volume: 18.2 Å³/atom
electronic total energy: -8.623 eV/atom


## HfB3Pb (PBE)

Data for a relaxed HfB3Pb crystal.

extended XYZ file:
```
5
Lattice="4.458 0.000 0.000 0.000 4.458 0.000 0.000 0.000 4.458" Properties=species:S:1:pos:R:3 pbc="T T T"
Hf 0.000 0.000 0.000
B 0.000 2.229 2.229
B 2.229 0.000 2.229
B 2.229 2.229 0.000
Pb 2.229 2.229 2.229
```

Computed properties:
energy of formation: 2.33 eV per atom
energy above the most stable polymorph in this dataset: 0.8951 eV/atom
volume: 17.7 Å³/atom
electronic total energy: -4.408 eV/atom


## Hf5B2Pb2 (PBE)

Data for a relaxed Hf5B2Pb2 crystal.

extended XYZ file:
```
18
Lattice="7.705 -3.354 0.000 7.705 3.354 0.000 0.000 0.000 6.629" Properties=species:S:1:pos:R:3 pbc="T T T"
Hf 0.000 0.000 0.000
Hf 6.134 2.154 4.516
Hf 6.134 1.200 1.202
Hf 9.275 2.154 4.516
Hf 9.275 1.200 1.202
Hf 7.705 0.000 3.315
Hf 6.134 -1.200 5.428
Hf 6.134 -2.154 2.113
Hf 9.275 -1.200 5.428
Hf 9.275 -2.154 2.113
B 7.705 2.660 2.626
B 7.705 0.695 5.941
B 7.705 -0.695 0.688
B 7.705 -2.660 4.003
Pb 3.610 0.000 0.000
Pb 4.094 0.000 3.315
Pb 11.315 0.000 3.315
Pb 11.799 0.000 0.000
```

Computed properties:
energy of formation: -0.20 eV per atom
volume: 19.0 Å³/atom
electronic total energy: -8.040 eV/atom


## HfB3Pb (PBE)

Data for a relaxed HfB3Pb crystal.

extended XYZ file:
```
5
Lattice="4.534 0.000 0.000 0.000 4.534 0.000 0.000 0.000 4.534" Properties=species:S:1:pos:R:3 pbc="T T T"
Hf 0.000 0.000 0.000
B 0.000 0.000 2.267
B 0.000 2.267 0.000
B 2.267 0.000 0.000
Pb 2.267 2.267 2.267
```

Computed properties:
energy of formation: 1.44 eV per atom
energy above the most stable polymorph in this dataset: 0.0000 eV/atom
volume: 18.6 Å³/atom
electronic total energy: -5.303 eV/atom


## Hf2BRhPb (PBE)

Data for a relaxed Hf2BRhPb crystal.

extended XYZ file:
```
5
Lattice="4.946 0.000 0.000 0.000 4.946 0.000 0.000 0.000 5.029" Properties=species:S:1:pos:R:3 pbc="T T T"
Hf 0.000 2.473 0.000
Hf 2.473 0.000 0.000
B 0.000 0.000 2.514
Rh 2.473 2.473 0.000
Pb 2.473 2.473 2.514
```

Computed properties:
energy of formation: 1.08 eV per atom
volume: 24.6 Å³/atom
electronic total energy: -6.449 eV/atom


Number 1: size of the total moment 0.000 μB per formula unit. Number 2: size of the total moment 0.000 μB per formula unit. Number 3: size of the total moment 0.000 μB per formula unit. Number 4: size of the total moment 0.000 μB per formula unit. Number 5: size of the total moment 0.000 μB per formula unit. Number 6: size of the total moment 0.000 μB per formula unit. Number 7: size of the total moment 0.000 μB per formula unit. Number 8: size of the total moment 0.000 μB per formula unit.